i:
Entry from Alexandria via LeMat-Bulk: a geometry-optimized SrCa2MgPd structure (PBE).

The space-group type is P4/mmm. The density of states at the Fermi level comes out at 0.76 states/eV per atom. The value obtained for the calculated density is 2.916 g/cm³.

a b c (Å): 5.647 5.647 5.331
angles (deg): 90.00 90.00 90.00
Atoms (fractional coordinates):
Sr 0.000 0.000 0.000
Ca 0.000 0.500 0.500
Ca 0.500 0.000 0.500
Mg 0.500 0.500 0.000
Pd 0.500 0.500 0.500

ii:
Entry from Alexandria via LeMat-Bulk: a geometry-optimized SrCa2MgPd structure (PBE).

The space-group type is P4/mmm. The density of states at the Fermi level comes out at 0.56 states/eV per atom. The value obtained for the calculated density is 2.672 g/cm³.

a b c (Å): 5.608 5.608 5.899
angles (deg): 90.00 90.00 90.00
Atoms (fractional coordinates):
Sr 0.000 0.000 0.000
Ca 0.000 0.500 0.500
Ca 0.500 0.000 0.500
Mg 0.500 0.500 0.000
Pd 0.000 0.000 0.500

Preferred: i; penalty for the next structure: 4.3 kJ/mol of atoms.

i:
Entry from Alexandria via LeMat-Bulk: a geometry-optimized Sr2CaMgPd structure (PBE).

The space-group type is P4/mmm. The density of states at the Fermi level comes out at 0.60 states/eV per atom. The value obtained for the calculated density is 2.915 g/cm³.

a b c (Å): 5.935 5.935 5.597
angles (deg): 90.00 90.00 90.00
Atoms (fractional coordinates):
Sr 0.000 0.500 0.000
Sr 0.500 0.000 0.000
Ca 0.000 0.000 0.500
Mg 0.500 0.500 0.500
Pd 0.000 0.000 0.000

ii:
Entry from Alexandria via LeMat-Bulk: a geometry-optimized Sr2CaMgPd structure (PBE).

The space-group type is P4/mmm. The density of states at the Fermi level comes out at 0.81 states/eV per atom. The value obtained for the calculated density is 3.071 g/cm³.

a b c (Å): 5.935 5.935 5.312
angles (deg): 90.00 90.00 90.00
Atoms (fractional coordinates):
Sr 0.000 0.500 0.000
Sr 0.500 0.000 0.000
Ca 0.000 0.000 0.500
Mg 0.500 0.500 0.500
Pd 0.500 0.500 0.000

Preferred: i; penalty for the next structure: 0.9 kJ/mol of atoms.

i:
Entry from Alexandria via LeMat-Bulk: a geometry-optimized CaPm2Mg4 structure (PBE).

The space-group type is R-3m. The density of states at the Fermi level comes out at 0.91 states/eV per atom. The value obtained for the calculated density is 3.520 g/cm³.

a b c (Å): 8.450 8.450 8.450
angles (deg): 37.61 37.61 37.61
Atoms (fractional coordinates):
Ca 0.000 0.000 0.000
Pm 0.281 0.281 0.281
Pm 0.719 0.719 0.719
Mg 0.138 0.138 0.138
Mg 0.430 0.430 0.430
Mg 0.570 0.570 0.570
Mg 0.862 0.862 0.862

ii:
Entry from Alexandria via LeMat-Bulk: a geometry-optimized CaPm2Mg4 structure (PBE).

The space-group type is I4/mmm. The density of states at the Fermi level comes out at 0.92 states/eV per atom. The value obtained for the calculated density is 2.743 g/cm³.

a b c (Å): 9.102 9.102 9.102
angles (deg): 144.03 144.03 51.79
Atoms (fractional coordinates):
Ca 0.000 0.000 0.000
Pm 0.394 0.394 0.000
Pm 0.606 0.606 0.000
Mg 0.000 0.500 0.500
Mg 0.190 0.190 0.000
Mg 0.500 0.000 0.500
Mg 0.810 0.810 0.000

Preferred: i; penalty for the next structure: 42.7 kJ/mol of atoms.

i:
Entry from Alexandria via LeMat-Bulk: a geometry-optimized CaPmPrMg structure (PBE).

The space-group type is F-43m. The density of states at the Fermi level comes out at 1.00 states/eV per atom. The value obtained for the calculated density is 4.421 g/cm³.

a b c (Å): 5.709 5.709 5.709
angles (deg): 60.00 60.00 60.00
Atoms (fractional coordinates):
Ca 0.000 0.000 0.000
Pm 0.250 0.250 0.250
Pr 0.750 0.750 0.750
Mg 0.500 0.500 0.500

ii:
Entry from Alexandria via LeMat-Bulk: a geometry-optimized CaPmPrMg structure (PBE).

The space-group type is P4mm. The density of states at the Fermi level comes out at 1.27 states/eV per atom. The value obtained for the calculated density is 4.319 g/cm³.

a b c (Å): 3.696 3.696 9.861
angles (deg): 90.00 90.00 90.00
Atoms (fractional coordinates):
Ca 0.000 0.000 0.000
Pm 0.000 0.000 0.452
Pr 0.500 0.500 0.707
Mg 0.500 0.500 0.231

Preferred: ii; penalty for the next structure: 5.0 kJ/mol of atoms.

i:
Entry from Alexandria via LeMat-Bulk: a geometry-optimized CaTbPmMg structure (PBE).

The space-group type is P4mm. The density of states at the Fermi level comes out at 1.34 states/eV per atom. The value obtained for the calculated density is 4.716 g/cm³.

a b c (Å): 3.643 3.643 9.771
angles (deg): 90.00 90.00 90.00
Atoms (fractional coordinates):
Ca 0.000 0.000 0.000
Tb 0.000 0.000 0.456
Pm 0.500 0.500 0.705
Mg 0.500 0.500 0.237

ii:
Entry from Alexandria via LeMat-Bulk: a geometry-optimized CaTbPmMg structure (PBE).

The space-group type is F-43m. The density of states at the Fermi level comes out at 1.02 states/eV per atom. The value obtained for the calculated density is 4.840 g/cm³.

a b c (Å): 5.633 5.633 5.633
angles (deg): 60.00 60.00 60.00
Atoms (fractional coordinates):
Ca 0.000 0.000 0.000
Tb 0.250 0.250 0.250
Pm 0.750 0.750 0.750
Mg 0.500 0.500 0.500

Preferred: i; penalty for the next structure: 7.1 kJ/mol of atoms.

i:
Entry from Alexandria via LeMat-Bulk: a geometry-optimized CaPmTmMg structure (PBE).

The space-group type is P4mm. The density of states at the Fermi level comes out at 1.48 states/eV per atom. The value obtained for the calculated density is 4.933 g/cm³.

a b c (Å): 3.619 3.619 9.722
angles (deg): 90.00 90.00 90.00
Atoms (fractional coordinates):
Ca 0.000 0.000 0.000
Pm 0.500 0.500 0.703
Tm 0.000 0.000 0.456
Mg 0.500 0.500 0.241

ii:
Entry from Alexandria via LeMat-Bulk: a geometry-optimized CaPmTmMg structure (PBE).

The space-group type is F-43m. The density of states at the Fermi level comes out at 0.69 states/eV per atom. The value obtained for the calculated density is 4.982 g/cm³.

a b c (Å): 5.629 5.629 5.629
angles (deg): 60.00 60.00 60.00
Atoms (fractional coordinates):
Ca 0.000 0.000 0.000
Pm 0.500 0.500 0.500
Tm 0.750 0.750 0.750
Mg 0.250 0.250 0.250

Preferred: i; penalty for the next structure: 8.3 kJ/mol of atoms.